Record 1
The following is a DFT calculation (PBE) of Th3HS5 after structural relaxation.

Lattice parameters (Å, degrees): 7.4885 7.4885 9.1824 77.25 77.25 74.62
Sites, in units of the cell vectors:
Th1 0.6714 0.6714 0.8507
Th2 0.6949 0.6949 0.4106
Th3 0.0000 0.0000 0.0000
Th4 0.0000 0.0000 0.5000
Th5 0.3286 0.3286 0.1493
Th6 0.3051 0.3051 0.5894
H1 0.0862 0.0862 0.7050
H2 0.9138 0.9138 0.2950
S1 0.0086 0.3719 0.3804
S2 0.2997 0.7003 0.0000
S3 0.7612 0.7612 0.0943
S4 0.4804 0.4804 0.3301
S5 0.5196 0.5196 0.6699
S6 0.2388 0.2388 0.9057
S7 0.3719 0.0086 0.3804
S8 0.7003 0.2997 0.0000
S9 0.9914 0.6281 0.6196
S10 0.6281 0.9914 0.6196

Computed properties:
Uncorrected energy ... -6.675 eV per atom
Total magnetization ... 0.000 μB/atom
Space group ... No. 12

***

Record 2
The following is a DFT calculation (PBE) of ThHS after structural relaxation.

Lattice parameters (Å, degrees): 3.8732 5.6311 5.6272 82.48 69.90 69.83
Sites, in units of the cell vectors:
H1 0.0033 0.3601 0.6314
H2 0.9962 0.6404 0.3691
S1 0.2118 0.7870 0.7899
S2 0.7884 0.2128 0.2100
Th1 0.5003 0.2341 0.7642
Th2 0.5000 0.7656 0.2355

Computed properties:
Uncorrected energy ... -6.065 eV per atom
Total magnetization ... 0.000 μB/atom
Space group ... No. 2

***

Record 3
The following is a DFT calculation (PBE) of ThH2S after structural relaxation.

Lattice parameters (Å, degrees): 4.2978 4.2978 4.0966 58.36 58.36 60.00
Sites, in units of the cell vectors:
H1 0.7671 0.7671 0.6986
H2 0.2329 0.2329 0.3014
S1 0.5000 0.5000 0.5000
Th1 0.0000 0.0000 0.0000

Computed properties:
Total magnetization ... 0.000 μB/atom
Space group ... No. 166
Excess energy over the best structure of this formula in the dataset ... 300 meV/atom

***

Record 4
The following is a DFT calculation (PBE) of TiHS2 after structural relaxation.

Lattice parameters (Å, degrees): 6.4093 6.4093 6.4093 31.17 31.17 31.17
Sites, in units of the cell vectors:
H1 0.0000 0.0000 0.0000
S1 0.9111 0.9111 0.9111
S2 0.0889 0.0889 0.0889
Ti1 0.5000 0.5000 0.5000

Computed properties:
Total magnetization ... 0.000 μB/atom
Space group ... No. 166
Excess energy over the best structure of this formula in the dataset ... 35 meV/atom

***

Record 5
The following is a DFT calculation (PBE) of TiHS2 after structural relaxation.

Lattice parameters (Å, degrees): 3.4635 6.2587 6.6247 104.84 90.77 89.96
Sites, in units of the cell vectors:
Ti1 0.6050 0.8746 0.5833
Ti2 0.1048 0.4630 0.5584
H1 0.0973 0.9470 0.1746
H2 0.6129 0.3903 0.9671
S1 0.1110 0.8106 0.8107
S2 0.0995 0.0383 0.3866
S3 0.5988 0.5269 0.3310
S4 0.6104 0.2992 0.7552

Computed properties:
Total magnetization ... 0.000 μB/atom
Space group ... No. 2
Excess energy over the best structure of this formula in the dataset ... 0 meV/atom

***

Record 6
The following is a DFT calculation (PBE) of Ti3HS after structural relaxation.

Lattice parameters (Å, degrees): 3.1663 6.1897 8.2717 112.65 90.00 104.82
Sites, in units of the cell vectors:
Ti1 0.8651 0.7302 0.8119
Ti2 0.1349 0.2698 0.1881
Ti3 0.6513 0.3026 0.8987
Ti4 0.3487 0.6974 0.1013
Ti5 0.8279 0.6557 0.4208
Ti6 0.1721 0.3443 0.5792
H1 0.3373 0.6746 0.6514
H2 0.6627 0.3254 0.3486
S1 0.0178 0.0356 0.6949
S2 0.9822 0.9644 0.3051

Computed properties:
Total magnetization ... 0.000 μB/atom
Space group ... No. 12
Excess energy over the best structure of this formula in the dataset ... 0 meV/atom

***

Please write out number 5 again, unchanged.
The following is a DFT calculation (PBE) of TiHS2 after structural relaxation.

Lattice parameters (Å, degrees): 3.4635 6.2587 6.6247 104.84 90.77 89.96
Sites, in units of the cell vectors:
Ti1 0.6050 0.8746 0.5833
Ti2 0.1048 0.4630 0.5584
H1 0.0973 0.9470 0.1746
H2 0.6129 0.3903 0.9671
S1 0.1110 0.8106 0.8107
S2 0.0995 0.0383 0.3866
S3 0.5988 0.5269 0.3310
S4 0.6104 0.2992 0.7552

Computed properties:
Total magnetization ... 0.000 μB/atom
Space group ... No. 2
Excess energy over the best structure of this formula in the dataset ... 0 meV/atom

***

Q: Look up the total magnetization of the sixth one.
A: 0.000 μB/atom

***

What did the first record say?
The following is a DFT calculation (PBE) of Th3HS5 after structural relaxation.

Lattice parameters (Å, degrees): 7.4885 7.4885 9.1824 77.25 77.25 74.62
Sites, in units of the cell vectors:
Th1 0.6714 0.6714 0.8507
Th2 0.6949 0.6949 0.4106
Th3 0.0000 0.0000 0.0000
Th4 0.0000 0.0000 0.5000
Th5 0.3286 0.3286 0.1493
Th6 0.3051 0.3051 0.5894
H1 0.0862 0.0862 0.7050
H2 0.9138 0.9138 0.2950
S1 0.0086 0.3719 0.3804
S2 0.2997 0.7003 0.0000
S3 0.7612 0.7612 0.0943
S4 0.4804 0.4804 0.3301
S5 0.5196 0.5196 0.6699
S6 0.2388 0.2388 0.9057
S7 0.3719 0.0086 0.3804
S8 0.7003 0.2997 0.0000
S9 0.9914 0.6281 0.6196
S10 0.6281 0.9914 0.6196

Computed properties:
Uncorrected energy ... -6.675 eV per atom
Total magnetization ... 0.000 μB/atom
Space group ... No. 12